Arrangement 1

Compound: Nd5YTm3
Source: Alexandria
Functional: GGA-PBE
Structure: optimized geometry

Cell and atoms, written as extended XYZ:
```
18
Lattice="3.379 11.466 2.116 -3.379 11.466 2.116 0.000 7.185 9.166" Properties=species:S:1:pos:R:3 pbc="T T T"
Nd -1.294 16.855 8.990
Nd -0.562 11.104 9.875
Nd 0.026 10.135 3.206
Nd 0.562 19.014 3.522
Nd 0.026 16.390 5.609
Nd 1.294 13.262 4.407
Nd 0.562 7.511 5.292
Nd -0.562 22.607 8.105
Nd -0.026 13.728 7.789
Nd -0.026 19.982 10.192
Y 1.740 16.855 8.990
Y -1.740 13.262 4.407
Tm 0.000 0.000 0.000
Tm 0.635 19.803 6.769
Tm 0.000 3.593 4.583
Tm -0.635 10.315 6.628
Tm -0.635 23.395 11.352
Tm 0.635 6.722 2.045
```

Its space group is C2/c, No. 15. The total magnetization comes out at 0.000 μB/f.u.



Arrangement 2

Compound: Nd5YTm3
Source: Alexandria
Functional: GGA-PBE
Structure: optimized geometry

Cell and atoms, written as extended XYZ:
```
18
Lattice="-2.359 -8.978 0.315 8.951 -2.377 -0.710 -2.704 5.772 7.341" Properties=species:S:1:pos:R:3 pbc="T T T"
Nd 2.943 2.273 5.031
Nd -2.070 -2.133 5.505
Nd -1.762 2.587 5.417
Nd 2.635 -2.447 5.119
Nd 0.945 -7.856 1.915
Nd 5.958 -3.449 1.442
Nd 5.650 -8.169 1.530
Nd 1.252 -3.135 1.827
Nd 3.296 -5.677 -0.197
Nd 0.000 0.000 0.000
Y -0.884 -4.441 3.729
Y 4.771 -1.141 3.217
Tm -0.458 -5.731 0.114
Tm 7.050 -5.623 -0.509
Tm 3.354 -9.444 -0.152
Tm 3.238 -1.911 -0.243
Tm 0.296 0.048 3.572
Tm 3.592 -5.630 3.374
```

Its space group is I4/mcm, No. 140. The total magnetization comes out at 0.000 μB/f.u.



Last place for stability: arrangement 2



Arrangement 1

Compound: Nd4Y2Tm5
Source: Alexandria
Functional: GGA-PBE
Structure: optimized geometry

Cell and atoms, written as extended XYZ:
```
11
Lattice="-2.811 -0.602 2.087 -3.739 -8.122 -7.378 6.147 -5.204 3.754" Properties=species:S:1:pos:R:3 pbc="T T T"
Nd -2.640 -5.962 -2.252
Nd 0.139 -11.024 0.030
Nd 2.237 -7.966 0.715
Nd -0.541 -2.905 -1.567
Y 1.474 -5.751 3.349
Y -1.876 -8.177 -4.886
Tm 1.509 -3.000 1.166
Tm -1.911 -10.928 -2.703
Tm 0.176 -8.131 -2.109
Tm -1.406 -0.301 1.044
Tm -0.578 -5.797 0.572
```

Its space group is C2/m, No. 12. The total magnetization comes out at 0.000 μB/f.u.



Arrangement 2

Compound: Nd4Y2Tm5
Source: Alexandria
Functional: GGA-PBE
Structure: optimized geometry

Cell and atoms, written as extended XYZ:
```
11
Lattice="-4.498 -0.414 3.408 -2.868 -4.097 -4.284 6.385 -7.143 2.862" Properties=species:S:1:pos:R:3 pbc="T T T"
Nd -0.129 -8.287 -1.178
Nd -0.343 -10.175 3.008
Nd -0.852 -3.368 3.164
Nd -0.638 -1.480 -1.022
Y 2.041 -7.716 1.756
Y -3.022 -3.939 0.229
Tm -1.559 -6.933 1.797
Tm 0.577 -4.722 0.188
Tm 0.486 -6.096 4.599
Tm -2.249 -0.207 1.704
Tm -1.468 -5.559 -2.613
```

Its space group is C2/m, No. 12. The total magnetization comes out at 0.000 μB/f.u.



Last place for stability: arrangement 2



Arrangement 1

Compound: Nd2TmZn
Source: Alexandria
Functional: GGA-PBE
Structure: optimized geometry

Cell and atoms, written as extended XYZ:
```
4
Lattice="-1.859 4.853 -1.571 -5.344 0.949 -0.125 -2.247 3.351 3.632" Properties=species:S:1:pos:R:3 pbc="T T T"
Zn -4.725 4.576 0.968
Tm 0.000 0.000 0.000
Nd -2.363 2.288 0.484
Nd -7.088 6.864 1.452
```

Its space group is Fm-3m, No. 225. The total magnetization comes out at 0.000 μB/f.u.



Arrangement 2

Compound: Nd2TmZn
Source: Alexandria
Functional: GGA-PBE
Structure: optimized geometry

Cell and atoms, written as extended XYZ:
```
4
Lattice="3.657 0.000 0.000 1.829 3.167 0.000 1.829 1.056 10.444" Properties=species:S:1:pos:R:3 pbc="T T T"
Nd 1.828 1.056 8.114
Nd 1.829 1.056 2.323
Tm 3.658 2.112 5.226
Zn 3.658 2.112 0.003
```

Its space group is R3m, No. 160. The total magnetization comes out at 0.002 μB/f.u.



Last place for stability: arrangement 1



Arrangement 1

Compound: Nd2TmZn
Source: Alexandria
Functional: GGA-PBE
Structure: optimized geometry

Cell and atoms, written as extended XYZ:
```
4
Lattice="-1.968 3.030 -0.570 -1.660 -1.611 -2.834 -6.158 -3.001 5.313" Properties=species:S:1:pos:R:3 pbc="T T T"
Zn -1.814 0.710 -1.702
Tm -4.893 -0.791 0.955
Nd -4.844 -2.361 4.179
Nd -1.314 -0.640 1.133
```

Its space group is P4/mmm, No. 123. The total magnetization comes out at 0.000 μB/f.u.



Arrangement 2

Compound: Nd2TmZn
Source: Alexandria
Functional: GGA-PBE
Structure: optimized geometry

Cell and atoms, written as extended XYZ:
```
4
Lattice="3.500 0.000 0.000 1.750 3.031 0.000 1.750 1.010 12.022" Properties=species:S:1:pos:R:3 pbc="T T T"
Zn 0.000 0.000 0.000
Tm 3.500 2.020 6.011
Nd 1.750 1.010 8.870
Nd 5.249 3.031 3.152
```

Its space group is R-3m, No. 166. The total magnetization comes out at 0.000 μB/f.u.



Last place for stability: arrangement 2



Arrangement 1

Compound: NdTm2Zn2
Source: Alexandria
Functional: GGA-PBE
Structure: optimized geometry

Cell and atoms, written as extended XYZ:
```
10
Lattice="4.610 0.000 0.000 0.000 4.858 -0.072 0.000 -1.355 11.675" Properties=species:S:1:pos:R:3 pbc="T T T"
Nd 1.152 2.962 2.996
Nd 3.457 0.541 8.607
Tm 1.152 3.025 10.240
Tm 3.457 0.478 1.363
Tm 1.152 0.538 5.878
Tm 3.457 2.965 5.724
Zn 1.152 2.995 7.469
Zn 3.457 0.508 4.134
Zn 1.152 1.940 0.145
Zn 3.457 1.563 11.458
```

Its space group is P2_1/m, No. 11. The total magnetization comes out at 0.000 μB/f.u.



Arrangement 2

Compound: NdTm2Zn2
Source: Alexandria
Functional: GGA-PBE
Structure: optimized geometry

Cell and atoms, written as extended XYZ:
```
10
Lattice="-0.630 -0.258 -3.534 -4.040 -3.128 0.949 -7.663 10.633 2.421" Properties=species:S:1:pos:R:3 pbc="T T T"
Nd -9.033 5.015 -0.587
Nd -3.300 2.232 0.422
Tm -3.773 -1.368 0.773
Tm -8.561 8.615 -0.938
Tm -6.744 2.544 1.016
Tm -5.590 4.703 -1.181
Zn -5.581 0.469 -0.872
Zn -6.752 6.778 0.707
Zn -10.283 7.202 1.304
Zn -2.051 0.045 -1.469
```

Its space group is P2_1/m, No. 11. The total magnetization comes out at 0.000 μB/f.u.



Last place for stability: arrangement 1



Arrangement 1

Compound: NdTm2Zr
Source: Alexandria
Functional: GGA-PBE
Structure: optimized geometry

Cell and atoms, written as extended XYZ:
```
4
Lattice="5.482 0.000 0.000 2.741 4.748 0.000 2.741 1.583 4.476" Properties=species:S:1:pos:R:3 pbc="T T T"
Tm 2.741 1.583 1.119
Tm 8.224 4.748 3.357
Nd 5.482 3.165 2.238
Zr 0.000 0.000 0.000
```

Its space group is Fm-3m, No. 225. The total magnetization comes out at 1.158 μB/f.u.



Arrangement 2

Compound: NdTm2Zr
Source: Alexandria
Functional: GGA-PBE
Structure: optimized geometry

Cell and atoms, written as extended XYZ:
```
4
Lattice="4.862 0.000 0.000 0.000 4.874 0.000 0.000 0.000 4.874" Properties=species:S:1:pos:R:3 pbc="T T T"
Tm 0.000 0.000 2.437
Tm 0.000 2.437 0.000
Nd 2.431 2.437 2.437
Zr 2.431 0.000 0.000
```

Its space group is P4/mmm, No. 123. The total magnetization comes out at 0.000 μB/f.u.



Arrangement 3

Compound: NdTm2Zr
Source: Alexandria
Functional: GGA-PBE
Structure: optimized geometry

Cell and atoms, written as extended XYZ:
```
4
Lattice="-1.034 -2.079 -2.541 -2.458 -2.339 0.582 -9.043 6.072 -3.619" Properties=species:S:1:pos:R:3 pbc="T T T"
Tm -9.256 1.101 -4.129
Tm -3.280 0.553 -1.449
Nd 0.000 0.000 0.000
Zr -6.268 0.827 -2.789
```

Its space group is R-3m, No. 166. The total magnetization comes out at 0.000 μB/f.u.



Last place for stability: arrangement 1



Arrangement 1

Compound: NdTm3Zr
Source: Alexandria
Functional: GGA-PBE
Structure: optimized geometry

Cell and atoms, written as extended XYZ:
```
10
Lattice="-2.085 0.123 -2.804 0.065 -6.299 1.855 -10.694 1.237 8.004" Properties=species:S:1:pos:R:3 pbc="T T T"
Nd -11.456 -3.020 6.204
Nd -1.259 -1.920 0.851
Tm -3.625 0.027 2.696
Tm -9.089 -4.966 4.359
Tm -2.162 -5.198 1.379
Tm -10.553 0.258 5.676
Tm -7.954 -2.035 5.823
Tm -4.761 -2.904 1.232
Zr -6.823 -1.050 2.846
Zr -5.891 -3.890 4.209
```

Its space group is C2/m, No. 12. The total magnetization comes out at 0.000 μB/f.u.



Arrangement 2

Compound: NdTm3Zr
Source: Alexandria
Functional: GGA-PBE
Structure: optimized geometry

Cell and atoms, written as extended XYZ:
```
10
Lattice="7.759 0.404 0.076 -3.414 5.926 -4.995 0.086 -1.619 7.490" Properties=species:S:1:pos:R:3 pbc="T T T"
Nd 4.274 1.720 -0.881
Nd 0.157 2.991 3.452
Tm -1.378 3.630 0.255
Tm 3.376 3.583 1.980
Tm 1.810 4.111 -1.090
Tm 2.620 0.601 3.660
Tm 5.809 1.081 2.316
Tm 1.054 1.128 0.590
Zr -0.352 0.013 5.057
Zr 4.782 4.698 -2.487
```

Its space group is P-1, No. 2. The total magnetization comes out at 0.000 μB/f.u.



Last place for stability: arrangement 2



Arrangement 1

Compound: NdTmZr
Source: Alexandria
Functional: GGA-PBE
Structure: optimized geometry

Cell and atoms, written as extended XYZ:
```
3
Lattice="-0.697 2.541 2.145 1.222 -1.843 2.580 6.574 2.524 -3.547" Properties=species:S:1:pos:R:3 pbc="T T T"
Tm 2.723 1.384 1.936
Nd 6.986 3.176 1.197
Zr 4.489 1.887 -0.778
```

Its space group is I4mm, No. 107. The total magnetization comes out at 0.000 μB/f.u.



Arrangement 2

Compound: NdTmZr
Source: Alexandria
Functional: GGA-PBE
Structure: optimized geometry

Cell and atoms, written as extended XYZ:
```
3
Lattice="3.434 0.000 0.000 -1.717 2.974 0.000 0.000 0.000 8.457" Properties=species:S:1:pos:R:3 pbc="T T T"
Tm 0.000 1.982 5.463
Nd 0.000 0.000 0.137
Zr 1.717 0.991 2.857
```

Its space group is P3m1, No. 156. The total magnetization comes out at 0.000 μB/f.u.



Arrangement 3

Compound: NdTmZr
Source: Alexandria
Functional: GGA-PBE
Structure: optimized geometry

Cell and atoms, written as extended XYZ:
```
6
Lattice="4.809 0.000 0.008 0.000 3.393 0.001 -0.018 -1.688 10.580" Properties=species:S:1:pos:R:3 pbc="T T T"
Nd 1.659 -0.710 5.436
Nd 4.067 2.678 3.287
Tm 1.666 0.984 1.454
Tm 4.060 0.984 7.270
Zr 4.054 0.990 10.409
Zr 1.653 -0.711 8.895
```

Its space group is P2_1/m, No. 11. The total magnetization comes out at 0.000 μB/f.u.



Last place for stability: arrangement 3



Arrangement 1

Compound: Nd2Y7
Source: Alexandria
Functional: GGA-PBE
Structure: optimized geometry

Cell and atoms, written as extended XYZ:
```
9
Lattice="-0.480 -3.597 -5.063 5.362 2.911 1.256 2.676 -6.950 4.684" Properties=species:S:1:pos:R:3 pbc="T T T"
Nd 3.415 0.742 -0.850
Nd 1.468 -1.428 -2.957
Y 0.000 0.000 0.000
Y 0.578 -4.730 -1.805
Y 4.474 -0.390 2.409
Y 2.524 -2.560 0.303
Y 3.564 -3.649 3.532
Y 1.619 -5.817 1.427
Y 5.035 -5.076 0.574
```

Its space group is P-31m, No. 162. The total magnetization comes out at 0.000 μB/f.u.



Arrangement 2

Compound: Nd2Y7
Source: Alexandria
Functional: GGA-PBE
Structure: optimized geometry

Cell and atoms, written as extended XYZ:
```
9
Lattice="3.605 0.000 0.000 0.000 9.781 0.000 0.000 -4.890 8.470" Properties=species:S:1:pos:R:3 pbc="T T T"
Nd 0.000 4.890 2.823
Nd 0.000 0.000 5.647
Y 1.802 6.288 0.000
Y 1.802 -3.144 5.446
Y 1.802 1.746 3.025
Y 0.000 2.985 0.000
Y 0.000 -1.492 2.585
Y 0.000 3.398 5.885
Y 1.802 0.000 0.000
```

Its space group is P-62m, No. 189. The total magnetization comes out at 2.174 μB/f.u.



Last place for stability: arrangement 2



Arrangement 1

Compound: Nd2Y
Source: Alexandria
Functional: GGA-PBE
Structure: optimized geometry

Cell and atoms, written as extended XYZ:
```
3
Lattice="3.650 0.000 0.000 0.000 3.650 0.000 -1.825 -1.825 7.733" Properties=species:S:1:pos:R:3 pbc="T T T"
Y 0.000 0.000 0.000
Nd 1.825 1.825 2.563
Nd 0.000 0.000 5.169
```

Its space group is I4/mmm, No. 139. The total magnetization comes out at 0.000 μB/f.u.



Arrangement 2

Compound: Nd2Y
Source: Alexandria
Functional: GGA-PBE
Structure: optimized geometry

Cell and atoms, written as extended XYZ:
```
6
Lattice="3.528 0.000 0.000 0.000 3.528 0.000 -1.764 -1.764 16.866" Properties=species:S:1:pos:R:3 pbc="T T T"
Nd 1.764 1.764 2.644
Nd 1.764 0.000 5.789
Nd 0.000 0.000 14.222
Nd 1.764 0.000 11.077
Y 0.000 0.000 0.000
Y 0.000 1.764 8.433
```

Its space group is I4_1/amd, No. 141. The total magnetization comes out at 0.000 μB/f.u.



Arrangement 3

Compound: Nd2Y
Source: Alexandria
Functional: GGA-PBE
Structure: optimized geometry

Cell and atoms, written as extended XYZ:
```
12
Lattice="9.229 0.000 -3.665 0.206 5.742 0.519 -1.880 2.176 8.718" Properties=species:S:1:pos:R:3 pbc="T T T"
Nd 6.085 4.110 -0.086
Nd 5.975 6.652 4.091
Nd 1.580 1.266 1.481
Nd -0.030 4.137 2.421
Nd 7.585 3.781 3.151
Nd 4.640 1.239 0.187
Nd 2.915 6.679 5.385
Nd 1.470 3.808 5.658
Y 7.048 1.436 -2.649
Y 2.387 4.307 -0.498
Y 3.778 3.959 2.786
Y -0.940 1.088 4.359
```

Its space group is C2/c, No. 15. The total magnetization comes out at 0.000 μB/f.u.



Last place for stability: arrangement 2



Arrangement 1

Compound: Nd2Y
Source: Alexandria
Functional: GGA-PBE
Structure: optimized geometry

Cell and atoms, written as extended XYZ:
```
6
Lattice="-0.028 -3.780 -5.537 -4.669 -4.745 -0.796 -4.837 0.791 -4.574" Properties=species:S:1:pos:R:3 pbc="T T T"
Y 0.000 0.000 0.000
Y -2.383 -1.934 -2.727
Nd -5.945 -2.944 -4.048
Nd -3.624 -2.461 -6.419
Nd -5.959 -4.834 -6.817
Nd -3.540 -5.229 -4.530
```

Its space group is Fd-3m, No. 227. The total magnetization comes out at 0.000 μB/f.u.



Arrangement 2

Compound: Nd2Y
Source: Alexandria
Functional: GGA-PBE
Structure: optimized geometry

Cell and atoms, written as extended XYZ:
```
3
Lattice="9.162 -0.013 -0.008 8.439 3.567 -0.008 8.439 1.704 3.134" Properties=species:S:1:pos:R:3 pbc="T T T"
Y 0.000 0.000 0.000
Nd 20.200 4.079 2.419
Nd 5.839 1.179 0.699
```

Its space group is R-3m, No. 166. The total magnetization comes out at 0.000 μB/f.u.



Last place for stability: arrangement 1